4
Lattice="-1.023 0.824 -3.273 -3.299 0.475 1.151 1.500 7.176 1.337" Properties=species:S:1:pos:R:3 comment="Pu2ThRu | Alexandria via LeMat-Bulk | PBE-GGA | optimized geometry" formation_enthalpy_0k_ev_per_atom=-0.016 crystal_system=tetragonal dos_at_fermi_per_ev_cell=13.16 space_group="No. 123" pbc="T T T"
Pu 0.307 1.470 0.274
Pu 1.193 5.706 1.063
Ru -2.161 0.650 -1.061
Th -1.411 4.237 -0.392


10
Lattice="-0.038 -5.404 -2.240 4.034 -4.634 3.471 -5.000 -4.224 2.637" Properties=species:S:1:pos:R:3 comment="Nd5P4O | Alexandria via LeMat-Bulk | PBE-GGA | optimized geometry" raw_formation_energy_kj_per_mol_atoms=-168.5 crystal_system=tetragonal dos_at_fermi_per_ev_cell=2.40 space_group="No. 79" pbc="T T T"
Nd -2.499 -10.091 1.454
Nd -1.192 -6.375 0.107
Nd 0.188 -7.898 3.757
Nd 1.495 -4.183 2.409
Nd -0.017 -2.420 -1.003
P -2.399 -7.383 2.565
P 1.395 -6.887 1.300
P -1.162 -3.703 1.302
P 0.158 -10.567 2.563
O -0.002 -0.296 -0.123